The following is a meta-GGA SCAN calculation of a PBEsol-optimized structure of KTeO5, from Alexandria.

Fermi-level density of states = 2.582 states/eV per cell
Formation energy without anion corrections = -0.811 eV/atom

Cell: 4.9825 3.9261 6.3442 Å, 90.00 106.06 90.00°
Closest atoms and distances in Å follow each position.
Positions (direct):
K  0.0000  0.0000  0.0000  4 O 2.66
Te  0.5000  0.5000  0.5000  4 O 1.82-1.96
O  0.1122  0.5000  0.5890  1 O 1.35
O  0.3305  0.5000  0.2056  1 Te 1.82
O  0.5000  0.0000  0.5000  2 Te 1.96
O  0.6695  0.5000  0.7944  1 Te 1.82
O  0.8878  0.5000  0.4110  1 O 1.35


The following is a meta-GGA SCAN calculation of a PBEsol-optimized structure of BaSc2Cl, from Alexandria.

Fermi-level density of states = 5.183 states/eV per cell
Formation energy without anion corrections = -0.535 eV/atom

Cell: 3.4042 3.4042 9.2775 Å, 90.00 90.00 90.00°
Closest atoms and distances in Å follow each position.
Positions (direct):
Ba  0.0000  0.0000  0.0000  4 Cl 3.35, 4 Ba 3.40
Sc  0.0000  0.0000  0.4482  4 Cl 3.02, 4 Sc 3.17
Sc  0.5000  0.5000  0.6713  8 Sc 3.17-3.40
Cl  0.5000  0.5000  0.2514  4 Sc 3.02, 4 Ba 3.35


The following is a meta-GGA SCAN calculation of a PBEsol-optimized structure of CsCaIr3, from Alexandria.

Fermi-level density of states = 3.098 states/eV per cell
DFT formation energy = 1165.6 kJ/mol of formula units

Cell: 4.9675 4.9675 4.9675 Å, 90.00 90.00 90.00°
Closest atoms and distances in Å follow each position.
Positions (direct):
Cs  0.0000  0.0000  0.0000  6 Ir 2.48
Ca  0.5000  0.5000  0.5000  12 Ir 3.51
Ir  0.0000  0.0000  0.5000  2 Cs 2.48
Ir  0.0000  0.5000  0.0000  2 Cs 2.48
Ir  0.5000  0.0000  0.0000  2 Cs 2.48


The following is a meta-GGA SCAN calculation of a PBEsol-optimized structure of CsPbI3, from Alexandria.

Fermi-level density of states = 0.000 states/eV per cell
Formation energy without anion corrections = -1.091 eV/atom

Cell: 8.9542 12.3628 8.3254 Å, 90.00 90.00 90.00°
Closest atoms and distances in Å follow each position.
Positions (direct):
Cs  0.0839  0.2500  0.0321  8 I 3.80-4.13
Cs  0.4161  0.7500  0.5321  8 I 3.80-4.13
Cs  0.5839  0.2500  0.4679  8 I 3.80-4.13
Cs  0.9161  0.7500  0.9679  8 I 3.80-4.13
Pb  0.0000  0.0000  0.5000  6 I 3.16-3.19
Pb  0.0000  0.5000  0.5000  6 I 3.16-3.19
Pb  0.5000  0.0000  0.0000  6 I 3.16-3.19
Pb  0.5000  0.5000  0.0000  6 I 3.16-3.19
I  0.0045  0.7500  0.4197  2 Pb 3.16
I  0.1938  0.5397  0.8142  2 Pb 3.18-3.19
I  0.1938  0.9603  0.8142  2 Pb 3.18-3.19
I  0.3062  0.0397  0.3142  2 Pb 3.18-3.19
I  0.3062  0.4603  0.3142  2 Pb 3.18-3.19
I  0.4955  0.2500  0.9197  2 Pb 3.16
I  0.5045  0.7500  0.0803  2 Pb 3.16
I  0.6938  0.5397  0.6858  2 Pb 3.18-3.19
I  0.6938  0.9603  0.6858  2 Pb 3.18-3.19
I  0.8062  0.0397  0.1858  2 Pb 3.18-3.19
I  0.8062  0.4603  0.1858  2 Pb 3.18-3.19
I  0.9955  0.2500  0.5803  2 Pb 3.16


The following is a meta-GGA SCAN calculation of a PBEsol-optimized structure of ScIrSe2, from Alexandria.

Fermi-level density of states = 6.194 states/eV per cell
Formation energy without anion corrections = -0.028 eV/atom

Cell: 4.6243 4.6243 4.6243 Å, 60.00 60.00 60.00°
Closest atoms and distances in Å follow each position.
Positions (direct):
Sc  0.0000  0.0000  0.0000  4 Se 2.83, 4 Ir 2.83
Ir  0.2500  0.2500  0.2500  4 Se 2.83, 4 Sc 2.83
Se  0.5000  0.5000  0.5000  4 Se 2.83, 4 Ir 2.83
Se  0.7500  0.7500  0.7500  4 Se 2.83, 4 Sc 2.83


The following is a meta-GGA SCAN calculation of a PBEsol-optimized structure of Y2SnB, from Alexandria.

Fermi-level density of states = 1.764 states/eV per cell
DFT formation energy = -5.1 kJ/mol of formula units

Cell: 4.9709 4.9709 4.9709 Å, 60.00 60.00 60.00°
Closest atoms and distances in Å follow each position.
Positions (direct):
Y  0.2500  0.2500  0.2500  4 B 3.04, 4 Sn 3.04
Y  0.7500  0.7500  0.7500  4 B 3.04, 4 Sn 3.04
Sn  0.0000  0.0000  0.0000  8 Y 3.04
B  0.5000  0.5000  0.5000  8 Y 3.04


The following is a meta-GGA SCAN calculation of a PBEsol-optimized structure of PtBr2, from Alexandria.

Formation energy without anion corrections = -0.209 eV/atom

Cell: 8.1172 3.5830 11.3725 Å, 90.00 90.00 90.00°
Closest atoms and distances in Å follow each position.
Positions (direct):
Pt  0.1695  0.2500  0.1080  4 Br 2.43
Pt  0.3305  0.7500  0.6080  4 Br 2.43
Pt  0.6695  0.2500  0.3920  4 Br 2.43
Pt  0.8305  0.7500  0.8920  4 Br 2.43
Br  0.0419  0.7500  0.2196  2 Pt 2.43
Br  0.2044  0.2500  0.4958  2 Pt 2.43
Br  0.2956  0.7500  0.9958  2 Pt 2.43
Br  0.4581  0.2500  0.7196  2 Pt 2.43
Br  0.5419  0.7500  0.2804  2 Pt 2.43
Br  0.7044  0.2500  0.0042  2 Pt 2.43
Br  0.7956  0.7500  0.5042  2 Pt 2.43
Br  0.9581  0.2500  0.7804  2 Pt 2.43


The following is a meta-GGA SCAN calculation of a PBEsol-optimized structure of K4SnSe4, from Alexandria.

Fermi-level density of states = 0.000 states/eV per cell
Formation energy without anion corrections = -1.176 eV/atom

Cell: 14.3841 10.2520 8.2603 Å, 90.00 90.00 90.00°
Closest atoms and distances in Å follow each position.
Positions (direct):
K  0.0000  0.0000  0.0000  4 Se 3.23-3.61
K  0.0000  0.5000  0.0000  4 Se 3.23-3.61
K  0.0816  0.2500  0.4868  6 Se 3.29-3.53
K  0.2264  0.5487  0.3388  4 Se 3.25-3.41, 1 Sn 3.54
K  0.2264  0.9513  0.3388  4 Se 3.25-3.41, 1 Sn 3.54
K  0.2736  0.0487  0.8388  4 Se 3.25-3.41, 1 Sn 3.54
K  0.2736  0.4513  0.8388  4 Se 3.25-3.41, 1 Sn 3.54
K  0.4184  0.7500  0.9868  6 Se 3.29-3.53
K  0.5000  0.0000  0.5000  4 Se 3.23-3.61
K  0.5000  0.5000  0.5000  4 Se 3.23-3.61
K  0.5816  0.2500  0.0132  6 Se 3.29-3.53
K  0.7264  0.5487  0.1612  4 Se 3.25-3.41, 1 Sn 3.54
K  0.7264  0.9513  0.1612  4 Se 3.25-3.41, 1 Sn 3.54
K  0.7736  0.0487  0.6612  4 Se 3.25-3.41, 1 Sn 3.54
K  0.7736  0.4513  0.6612  4 Se 3.25-3.41, 1 Sn 3.54
K  0.9184  0.7500  0.5132  6 Se 3.29-3.53
Sn  0.1652  0.7500  0.7342  4 Se 2.52-2.56
Sn  0.3348  0.2500  0.2342  4 Se 2.52-2.56
Sn  0.6652  0.7500  0.7658  4 Se 2.52-2.56
Sn  0.8348  0.2500  0.2658  4 Se 2.52-2.56
Se  0.0808  0.5485  0.6398  1 Sn 2.52
Se  0.0808  0.9515  0.6398  1 Sn 2.52
Se  0.1709  0.2500  0.1139  1 Sn 2.56
Se  0.1750  0.7500  0.0424  1 Sn 2.55
Se  0.3250  0.2500  0.5424  1 Sn 2.55
Se  0.3291  0.7500  0.6139  1 Sn 2.56
Se  0.4192  0.0485  0.1398  1 Sn 2.52
Se  0.4192  0.4515  0.1398  1 Sn 2.52
Se  0.5808  0.5485  0.8602  1 Sn 2.52
Se  0.5808  0.9515  0.8602  1 Sn 2.52
Se  0.6709  0.2500  0.3861  1 Sn 2.56
Se  0.6750  0.7500  0.4576  1 Sn 2.55
Se  0.8250  0.2500  0.9576  1 Sn 2.55
Se  0.8291  0.7500  0.8861  1 Sn 2.56
Se  0.9192  0.0485  0.3602  1 Sn 2.52
Se  0.9192  0.4515  0.3602  1 Sn 2.52


The following is a meta-GGA SCAN calculation of a PBEsol-optimized structure of KSrRe4, from Alexandria.

Fermi-level density of states = 5.304 states/eV per cell
DFT formation energy = 564.5 kJ/mol of formula units

Cell: 5.4504 5.4504 5.4504 Å, 60.00 60.00 60.00°
Closest atoms and distances in Å follow each position.
Positions (direct):
K  0.0000  0.0000  0.0000  12 Re 3.19, 4 Sr 3.34
Sr  0.2500  0.2500  0.2500  12 Re 3.20, 4 K 3.34
Re  0.1243  0.6252  0.6252  6 Re 2.72-2.73
Re  0.6252  0.1243  0.6252  6 Re 2.72-2.73
Re  0.6252  0.6252  0.1243  6 Re 2.72-2.73
Re  0.6252  0.6252  0.6252  6 Re 2.72-2.73


The following is a meta-GGA SCAN calculation of a PBEsol-optimized structure of LiCa3Si2N5, from Alexandria.

Fermi-level density of states = 0.000 states/eV per cell
Formation energy without anion corrections = -1.368 eV/atom

Cell: 10.5109 10.5109 10.2972 Å, 90.33 90.33 151.84°
Closest atoms and distances in Å follow each position.
Positions (direct):
Li  0.1268  0.8732  0.7500  2 N 2.07
Li  0.3414  0.6586  0.2500  2 N 2.01
Li  0.6586  0.3414  0.7500  2 N 2.01
Li  0.8732  0.1268  0.2500  2 N 2.07
Ca  0.0410  0.4694  0.8547  5 N 2.36-2.62
Ca  0.1554  0.3351  0.6438  4 N 2.33-2.52
Ca  0.2330  0.2699  0.3678  4 N 2.36-2.54
Ca  0.2699  0.2330  0.8678  4 N 2.36-2.54
Ca  0.3351  0.1554  0.1438  4 N 2.33-2.52
Ca  0.4694  0.0410  0.3547  5 N 2.36-2.62
Ca  0.5306  0.9590  0.6453  5 N 2.36-2.62
Ca  0.6649  0.8446  0.8562  4 N 2.33-2.52
Ca  0.7301  0.7670  0.1322  4 N 2.36-2.54
Ca  0.7670  0.7301  0.6322  4 N 2.36-2.54
Ca  0.8446  0.6649  0.3562  4 N 2.33-2.52
Ca  0.9590  0.5306  0.1453  5 N 2.36-2.62
Si  0.0084  0.6154  0.5485  4 N 1.72-1.81
Si  0.1943  0.4032  0.0388  4 N 1.74-1.80
Si  0.3846  0.9916  0.9515  4 N 1.72-1.81
Si  0.4032  0.1943  0.5388  4 N 1.74-1.80
Si  0.5968  0.8057  0.4612  4 N 1.74-1.80
Si  0.6154  0.0084  0.0485  4 N 1.72-1.81
Si  0.8057  0.5968  0.9612  4 N 1.74-1.80
Si  0.9916  0.3846  0.4515  4 N 1.72-1.81
N  0.0021  0.4535  0.6171  2 Si 1.79-1.81
N  0.0427  0.6890  0.9105  2 Si 1.74-1.78
N  0.1670  0.3628  0.8693  1 Si 1.75
N  0.2011  0.2653  0.1224  1 Si 1.74
N  0.2412  0.4960  0.4217  2 Si 1.72-1.80
N  0.2653  0.2011  0.6224  1 Si 1.74
N  0.3110  0.9573  0.5895  2 Si 1.74-1.78
N  0.3628  0.1670  0.3693  1 Si 1.75
N  0.4535  0.0021  0.1171  2 Si 1.79-1.81
N  0.4960  0.2412  0.9217  2 Si 1.72-1.80
N  0.5040  0.7588  0.0783  2 Si 1.72-1.80
N  0.5465  0.9979  0.8829  2 Si 1.79-1.81
N  0.6372  0.8330  0.6307  1 Si 1.75
N  0.6890  0.0427  0.4105  2 Si 1.74-1.78
N  0.7347  0.7989  0.3776  1 Si 1.74
N  0.7588  0.5040  0.5783  2 Si 1.72-1.80
N  0.7989  0.7347  0.8776  1 Si 1.74
N  0.8330  0.6372  0.1307  1 Si 1.75
N  0.9573  0.3110  0.0895  2 Si 1.74-1.78
N  0.9979  0.5465  0.3829  2 Si 1.79-1.81


The following is a meta-GGA SCAN calculation of a PBEsol-optimized structure of AlSbAs2Br, from Alexandria.

Fermi-level density of states = 3.947 states/eV per cell
Formation energy without anion corrections = 0.765 eV/atom

Cell: 5.2297 5.2297 5.5281 Å, 90.00 90.00 90.00°
Closest atoms and distances in Å follow each position.
Positions (direct):
Al  0.0000  0.0000  0.0000  4 Br 3.70, 8 As 3.80
Sb  0.5000  0.5000  0.5000  4 As 2.61, 2 Br 2.76
As  0.0000  0.5000  0.5000  2 Sb 2.61
As  0.5000  0.0000  0.5000  2 Sb 2.61
Br  0.5000  0.5000  0.0000  2 Sb 2.76


The following is a meta-GGA SCAN calculation of a PBEsol-optimized structure of CaTe2WN, from Alexandria.

Fermi-level density of states = 1.228 states/eV per cell
Formation energy without anion corrections = -0.348 eV/atom

Cell: 5.4806 5.4806 3.8353 Å, 90.00 90.00 90.00°
Closest atoms and distances in Å follow each position.
Positions (direct):
Ca  0.0000  0.0000  0.0000  8 Te 3.34
Te  0.0000  0.5000  0.5000  2 W 2.74
Te  0.5000  0.0000  0.5000  2 W 2.74
W  0.5000  0.5000  0.5000  2 N 1.92
N  0.5000  0.5000  0.0000  2 W 1.92


Calculated E_tot, -11.77, -19.54, -49.74, -45.85, -31.40, -24.77, -36.58, -17.79, -51.52, -10.27, -20.21, -32.98 eV per atom (same order as the records).